## Hf2ZnAg (PBE)

Data for Hf2ZnAg after structural relaxation.

Cell lengths 4.797, 4.797, 4.797 Å; angles 60.00, 60.00, 60.00 degrees
Positions (direct):
Hf (0.750, 0.750, 0.750)
Ag (0.500, 0.500, 0.500)
Zn (0.250, 0.250, 0.250)
Hf (0.000, 0.000, 0.000)

## Properties
As for the space-group type: F-43m, No. 216. As for the total energy: -5.697 eV/atom.